Record 1
La3MoC: relaxed, PBE-GGA.

Cell: 5.1410 5.1410 5.1410 Å, 90.00 90.00 90.00°
Space group Pm-3m (No. 221)
Symmetry-distinct sites (fractional):
La  0.0000  0.0000  0.5000 (multiplicity 3)
Mo  0.5000  0.5000  0.5000 (multiplicity 1)
C  0.0000  0.0000  0.0000 (multiplicity 1)

Output
Formation energy from the elements in meV/atom: 485

Record 2
ScNi3H6: relaxed, PBE-GGA.

Cell: 4.4362 4.4362 12.3432 Å, 90.00 90.00 120.00°
Space group R3 (No. 146, hexagonal axes)
Symmetry-distinct sites (fractional):
Sc  0.0000  0.0000  0.0000 (multiplicity 3)
Ni  0.0000  0.0000  0.2220 (multiplicity 3)
Ni  0.0000  0.0000  0.5645 (multiplicity 3)
Ni  0.0000  0.0000  0.7780 (multiplicity 3)
H  0.0010  0.3628  0.8141 (multiplicity 9)
H  0.0058  0.5166  0.9833 (multiplicity 9)

Output
Energy in eV/atom: -4.65

Per-record Fermi-level density of states, states/eV/f.u.: 6.39; 2.14